First-principles (GGA-PBE) data for a relaxed Nd5Cu2Ge crystal, as listed in Alexandria via LeMat-Bulk.

abc: 7.4470 7.4470 9.3356
angles: 113.51 113.51 90.00
Positions (direct):
Nd (0.5142, 0.6830, 0.6973)
Nd (0.8170, 0.9858, 0.3027)
Nd (0.0000, 0.0000, 0.0000)
Nd (0.5000, 0.5000, 0.0000)
Nd (0.1830, 0.0142, 0.6973)
Nd (0.6830, 0.1830, 0.6973)
Nd (0.0142, 0.5142, 0.6973)
Nd (0.3170, 0.8170, 0.3027)
Nd (0.9858, 0.4858, 0.3027)
Nd (0.4858, 0.3170, 0.3027)
Cu (0.1198, 0.3802, 0.0000)
Cu (0.6198, 0.1198, 0.0000)
Cu (0.3802, 0.8802, 0.0000)
Cu (0.8802, 0.6198, 0.0000)
Ge (0.7500, 0.7500, 0.5000)
Ge (0.2500, 0.2500, 0.5000)

Values from the calculation:
V	26.7	A^3/atom
energy of formation from the pure elements	-277	meV per atom
uncorrected energy	-77.7	eV for the cell shown